Compound: CrGeO3
Source: Alexandria
Functional: PBE+U
Structure: relaxed

Properties
- total DFT energy (no corrections) (eV per atom) = -6.437

Structure (CIF):
```
data_CrGeO3
_space_group_name_H-M_alt 'P m -3 m'
_space_group_IT_number 221
_space_group_name_Hall '-P 4 2 3'
_cell_length_a 3.775
_cell_length_b 3.775
_cell_length_c 3.775
_cell_angle_alpha 90.00
_cell_angle_beta 90.00
_cell_angle_gamma 90.00
loop_
_atom_site_label
_atom_site_fract_x
_atom_site_fract_y
_atom_site_fract_z
Cr1 0.000 0.000 0.000
Ge1 0.500 0.500 0.500
O1 0.000 0.000 0.500
```